Record 1
A relaxed structure of MgZrOsO6, computed with PBE.

Computed properties:
Electronic total energy: -7.699 eV per atom
Uncorrected formation energy: -1754 kJ/mol of formula units
DOS at the Fermi energy: 3.94 states/eV/f.u.
Crystal system: trigonal

Cell lengths 5.2600, 5.2600, 9.0504 Å; angles 90.00, 90.00, 120.00 degrees
With the nearest neighbours (Å) after each atom.
Sites, in units of the cell vectors:
Mg 0.0000 0.0000 0.0000  6 O 2.17
Mg 0.0000 0.0000 0.5000  6 O 2.17
Zr 0.3333 0.6667 0.2500  6 O 2.12
Zr 0.6667 0.3333 0.7500  6 O 2.12
Os 0.6667 0.3333 0.2500  6 O 1.95
Os 0.3333 0.6667 0.7500  6 O 1.95
O 0.6671 0.6423 0.1308  1 Os 1.95, 1 Zr 2.12, 1 Mg 2.17
O 0.9752 0.3329 0.1308  1 Os 1.95, 1 Zr 2.12, 1 Mg 2.17
O 0.3329 0.9752 0.6308  1 Os 1.95, 1 Zr 2.12, 1 Mg 2.17
O 0.0248 0.6671 0.8692  1 Os 1.95, 1 Zr 2.12, 1 Mg 2.17
O 0.3577 0.3329 0.3692  1 Os 1.95, 1 Zr 2.12, 1 Mg 2.17
O 0.9752 0.6423 0.3692  1 Os 1.95, 1 Zr 2.12, 1 Mg 2.17
O 0.6423 0.9752 0.8692  1 Os 1.95, 1 Zr 2.12, 1 Mg 2.17
O 0.6671 0.0248 0.3692  1 Os 1.95, 1 Zr 2.12, 1 Mg 2.17
O 0.0248 0.3577 0.6308  1 Os 1.95, 1 Zr 2.12, 1 Mg 2.17
O 0.3577 0.0248 0.1308  1 Os 1.95, 1 Zr 2.12, 1 Mg 2.17
O 0.6423 0.6671 0.6308  1 Os 1.95, 1 Zr 2.12, 1 Mg 2.17
O 0.3329 0.3577 0.8692  1 Os 1.95, 1 Zr 2.12, 1 Mg 2.17

Record 2
A relaxed structure of DySi3Ir, computed with PBE.

Computed properties:
Electronic total energy: -6.726 eV per atom
Uncorrected formation energy: -376 kJ/mol of formula units
DOS at the Fermi energy: 1.38 states/eV/f.u.
Crystal system: tetragonal

Cell lengths 4.1884, 4.1884, 5.7272 Å; angles 111.41, 111.41, 90.02 degrees
With the nearest neighbours (Å) after each atom.
Sites, in units of the cell vectors:
Si 0.7640 0.2642 0.5283  2 Ir 2.37, 2 Si 2.55-2.56
Si 0.2642 0.7640 0.5283  2 Ir 2.37, 2 Si 2.55-2.56
Si 0.4134 0.4134 0.8266  1 Ir 2.33, 4 Si 2.55-2.56
Ir 0.6510 0.6510 0.3017  5 Si 2.33-2.37
Dy 0.9970 0.9970 0.9941  12 Si 3.07-3.35, 5 Ir 3.32-3.40

Record 3
A relaxed structure of LaMg2SbN, computed with PBE.

Computed properties:
Electronic total energy: -4.746 eV per atom
Uncorrected formation energy: -305 kJ/mol of formula units
DOS at the Fermi energy: 2.39 states/eV/f.u.
Crystal system: orthorhombic

Cell lengths 4.0089, 6.9463, 8.0023 Å; angles 90.00, 90.00, 106.77 degrees
With the nearest neighbours (Å) after each atom.
Sites, in units of the cell vectors:
La 0.4762 0.9525 0.7500  4 N 2.85
La 0.5238 0.0475 0.2500  4 N 2.85
Mg 0.1487 0.2973 0.9505  1 N 2.02
Mg 0.8513 0.7027 0.0495  1 N 2.02
Mg 0.1487 0.2973 0.5495  1 N 2.02
Mg 0.8513 0.7027 0.4505  1 N 2.02
Sb 0.7434 0.4868 0.7500  6 Mg 2.79-2.86
Sb 0.2566 0.5132 0.2500  6 Mg 2.79-2.86
N 0.0000 0.0000 0.0000  2 Mg 2.02
N 0.0000 0.0000 0.5000  2 Mg 2.02

Record 4
A relaxed structure of Rb2CrP, computed with PBE.

Computed properties:
Electronic total energy: -4.150 eV per atom
DOS at the Fermi energy: 1.95 states/eV/f.u.
Crystal system: tetragonal

Cell lengths 13.1733, 13.1733, 9.5939 Å; angles 46.64, 46.64, 90.00 degrees
With the nearest neighbours (Å) after each atom.
Sites, in units of the cell vectors:
Cr 0.0000 0.0000 0.0000  2 P 2.30
Cr 0.7500 0.2500 0.5000  2 P 2.30
Rb 0.4311 0.1250 0.2500  2 P 3.42, 2 Cr 3.79
Rb 0.3189 0.6250 0.2500  2 P 3.42, 2 Cr 3.79
Rb 0.3750 0.5689 0.7500  2 P 3.42, 2 Cr 3.79
Rb 0.8750 0.6811 0.7500  2 P 3.42, 2 Cr 3.79
P 0.5000 0.5000 0.0000  2 Cr 2.30
P 0.2500 0.7500 0.5000  2 Cr 2.30

Copy entry 2 word for word.
A relaxed structure of DySi3Ir, computed with PBE.

Computed properties:
Electronic total energy: -6.726 eV per atom
Uncorrected formation energy: -376 kJ/mol of formula units
DOS at the Fermi energy: 1.38 states/eV/f.u.
Crystal system: tetragonal

Cell lengths 4.1884, 4.1884, 5.7272 Å; angles 111.41, 111.41, 90.02 degrees
With the nearest neighbours (Å) after each atom.
Sites, in units of the cell vectors:
Si 0.7640 0.2642 0.5283  2 Ir 2.37, 2 Si 2.55-2.56
Si 0.2642 0.7640 0.5283  2 Ir 2.37, 2 Si 2.55-2.56
Si 0.4134 0.4134 0.8266  1 Ir 2.33, 4 Si 2.55-2.56
Ir 0.6510 0.6510 0.3017  5 Si 2.33-2.37
Dy 0.9970 0.9970 0.9941  12 Si 3.07-3.35, 5 Ir 3.32-3.40

Copy entry 3 word for word.
A relaxed structure of LaMg2SbN, computed with PBE.

Computed properties:
Electronic total energy: -4.746 eV per atom
Uncorrected formation energy: -305 kJ/mol of formula units
DOS at the Fermi energy: 2.39 states/eV/f.u.
Crystal system: orthorhombic

Cell lengths 4.0089, 6.9463, 8.0023 Å; angles 90.00, 90.00, 106.77 degrees
With the nearest neighbours (Å) after each atom.
Sites, in units of the cell vectors:
La 0.4762 0.9525 0.7500  4 N 2.85
La 0.5238 0.0475 0.2500  4 N 2.85
Mg 0.1487 0.2973 0.9505  1 N 2.02
Mg 0.8513 0.7027 0.0495  1 N 2.02
Mg 0.1487 0.2973 0.5495  1 N 2.02
Mg 0.8513 0.7027 0.4505  1 N 2.02
Sb 0.7434 0.4868 0.7500  6 Mg 2.79-2.86
Sb 0.2566 0.5132 0.2500  6 Mg 2.79-2.86
N 0.0000 0.0000 0.0000  2 Mg 2.02
N 0.0000 0.0000 0.5000  2 Mg 2.02

Q: The lowest DOS at the Fermi energy belongs to which entry?
A: DySi3Ir

Q: Number 4 is which compound?
A: Rb2CrP